Below is an optimized crystal structure of Zr2SbRu, with properties calculated at the PBE-GGA level.

Values from the calculation:
- Uncorrected energy: -7.779 eV/atom
- Symmetry: I-42d
- Total moment: 0.00 μB/cell

Cell: 6.159 6.159 6.159 Å, 103.56 103.56 122.08°
Positions (direct):
Zr: 0.083 0.625 0.958
Zr: 0.375 0.333 0.458
Zr: 0.667 0.125 0.042
Zr: 0.875 0.917 0.542
Sb: 0.250 0.750 0.500
Sb: 0.500 0.500 0.000
Ru: 0.000 0.000 0.000
Ru: 0.750 0.250 0.500